(1)
This record from Alexandria describes a geometry-optimized LiC structure. The functional is PBE.

POSCAR file:
```
LiC
1.0
2.5570 0.0000 0.0000
0.0000 13.9045 0.0000
0.0000 0.0000 3.3912
Li C
6 6
direct
0.0000 0.0000 0.0000 Li
0.0000 0.3486 0.5000 Li
0.0000 0.6514 0.5000 Li
0.5000 0.1514 0.5000 Li
0.5000 0.5000 0.0000 Li
0.5000 0.8486 0.5000 Li
0.0000 0.2337 0.0000 C
0.0000 0.5000 0.5000 C
0.0000 0.7663 0.0000 C
0.5000 0.0000 0.5000 C
0.5000 0.2663 0.0000 C
0.5000 0.7337 0.0000 C
```

polymorph energy (0 for the lowest one): 563 meV/atom
space-group type: Cmmm
spin magnetization: 0.0 Bohr magnetons per cell
E_tot: -4.988 eV/atom
formation enthalpy at 0 K: 0.58 eV/atom


(2)
This record from Alexandria describes a geometry-optimized ErIrS structure. The functional is PBE.

POSCAR file:
```
ErIrS
1.0
10.2308 0.0000 0.0000
0.0000 3.4233 0.0000
0.0000 0.0000 6.7144
Er Ir S
4 4 4
direct
0.1808 0.0000 0.0000 Er
0.1808 0.5000 0.5000 Er
0.8192 0.0000 0.0000 Er
0.8192 0.5000 0.5000 Er
0.0000 0.0000 0.3117 Ir
0.0000 0.5000 0.8117 Ir
0.5000 0.0000 0.0567 Ir
0.5000 0.5000 0.5567 Ir
0.3567 0.0000 0.3254 S
0.3567 0.5000 0.8254 S
0.6433 0.0000 0.3254 S
0.6433 0.5000 0.8254 S
```

space-group type: Amm2
E_form (uncorrected): -0.4891 eV per atom
spin magnetization: 0.0 Bohr magnetons per cell
E_tot: -6.340 eV/atom


(3)
This record from Alexandria describes a geometry-optimized Nd3Dy2ScS6 structure. The functional is PBE.

POSCAR file:
```
Nd3Dy2ScS6
1.0
3.3915 -5.8935 0.0000
3.3915 5.8935 0.0000
-2.2740 0.0000 6.5649
Nd Dy Sc S
3 2 1 6
direct
0.0000 0.0000 0.0000 Nd
0.3300 0.6700 0.0000 Nd
0.6700 0.3300 0.0000 Nd
0.1664 0.8336 0.5000 Dy
0.8336 0.1664 0.5000 Dy
0.5000 0.5000 0.5000 Sc
0.1002 0.4245 0.2721 S
0.2531 0.2531 0.7315 S
0.4245 0.1002 0.2721 S
0.5755 0.8998 0.7279 S
0.7469 0.7469 0.2685 S
0.8998 0.5755 0.7279 S
```

space-group type: C2/m
E_form (uncorrected): -1.9827 eV per atom
spin magnetization: 0.0 Bohr magnetons per cell
E_tot: -6.533 eV/atom


(4)
This record from Alexandria describes a geometry-optimized Er7Sc2 structure. The functional is PBE.

POSCAR file:
```
Er7Sc2
1.0
9.4080 0.0000 0.0000
-4.7040 8.1475 0.0000
0.0000 0.0000 3.4588
Er Sc
7 2
direct
0.0000 0.0000 0.0000 Er
0.0000 0.3077 0.5000 Er
0.0000 0.6330 0.0000 Er
0.3077 0.0000 0.5000 Er
0.3670 0.3670 0.0000 Er
0.6330 0.0000 0.0000 Er
0.6923 0.6923 0.5000 Er
0.3333 0.6667 0.5000 Sc
0.6667 0.3333 0.5000 Sc
```

space-group type: P-62m
spin magnetization: 1.9 Bohr magnetons per cell
E_tot: -4.911 eV/atom
formation enthalpy at 0 K: 0.05 eV/atom